[1]
Here is TeC2F after structural relaxation from Alexandria via LeMat-Bulk. Energies are from GGA-PBE.

a b c (Å): 3.9946 3.9946 3.9946
angles (deg): 60.00 60.00 60.00
Element x y z (fractional)
Te1 0.5000 0.5000 0.5000
C1 0.2500 0.2500 0.2500
C2 0.7500 0.7500 0.7500
F1 0.0000 0.0000 0.0000

Results
Excess energy over the best structure of this formula in the dataset in meV/atom: 0.0
Space-group type: No. 225

=====

[2]
Here is TeC2F after structural relaxation from Alexandria via LeMat-Bulk. Energies are from GGA-PBE.

a b c (Å): 5.4758 5.4758 5.8269
angles (deg): 61.97 61.97 90.00
Element x y z (fractional)
C1 0.8750 0.8665 0.7500
C2 0.3750 0.3835 0.7500
C3 0.1335 0.6250 0.2500
C4 0.6165 0.1250 0.2500
Te1 0.7500 0.2500 0.5000
Te2 0.0000 0.0000 0.0000
F1 0.5000 0.5000 0.0000
F2 0.2500 0.7500 0.5000

Results
Excess energy over the best structure of this formula in the dataset in meV/atom: 168.7
Space-group type: No. 122

=====

[3]
Here is ZrTeCF2 after structural relaxation from Alexandria via LeMat-Bulk. Energies are from GGA-PBE.

a b c (Å): 4.1779 4.5841 4.1779
angles (deg): 90.00 90.00 90.00
Element x y z (fractional)
Zr1 0.5000 0.5000 0.5000
C1 0.0000 0.0000 0.0000
F1 0.0000 0.0000 0.5000
F2 0.5000 0.0000 0.0000
Te1 0.0000 0.5000 0.0000

Results
E in eV per atom: -4.82
Space-group type: No. 123

=====

Repeat the second record exactly.
Here is TeC2F after structural relaxation from Alexandria via LeMat-Bulk. Energies are from GGA-PBE.

a b c (Å): 5.4758 5.4758 5.8269
angles (deg): 61.97 61.97 90.00
Element x y z (fractional)
C1 0.8750 0.8665 0.7500
C2 0.3750 0.3835 0.7500
C3 0.1335 0.6250 0.2500
C4 0.6165 0.1250 0.2500
Te1 0.7500 0.2500 0.5000
Te2 0.0000 0.0000 0.0000
F1 0.5000 0.5000 0.0000
F2 0.2500 0.7500 0.5000

Results
Excess energy over the best structure of this formula in the dataset in meV/atom: 168.7
Space-group type: No. 122